[1]
Compound: Pm2Ho5Sc4
Source: Alexandria via LeMat-Bulk
Functional: PBE
Structure: optimized geometry

Unit cell a=3.398 b=8.949 c=11.932 alpha=112.02 beta=98.19 gamma=90.00
Fractional positions:
Pm 0.406 0.406 0.811
Pm 0.594 0.594 0.189
Ho 0.851 0.051 0.703
Ho 0.851 0.652 0.703
Ho 0.149 0.348 0.297
Ho 0.149 0.949 0.297
Ho 0.500 0.000 0.000
Sc 0.000 0.301 0.000
Sc 0.729 0.729 0.458
Sc 0.000 0.699 0.000
Sc 0.271 0.271 0.542

Summary:
The volume is 30.2 A^3/atom. For the calculated density, the calculation gives 6467 kg/m3. The space group is Immm (71). Its formation energy is 0.25 eV/atom.


[2]
Compound: Pm5HoSc4
Source: Alexandria via LeMat-Bulk
Functional: PBE
Structure: optimized geometry

Unit cell a=3.565 b=3.565 c=23.428 alpha=90.00 beta=90.00 gamma=90.00
Fractional positions:
Pm 0.500 0.500 0.108
Pm 0.500 0.500 0.305
Pm 0.500 0.500 0.500
Pm 0.500 0.500 0.695
Pm 0.500 0.500 0.892
Ho 0.000 0.000 0.000
Sc 0.000 0.000 0.206
Sc 0.000 0.000 0.402
Sc 0.000 0.000 0.598
Sc 0.000 0.000 0.794

Summary:
The energy relative to the lowest polymorph listed for this composition comes out at 0.00 eV per formula unit. The volume is 29.8 A^3/atom. For the calculated density, the calculation gives 5967 kg/m3. The space group is P4/mmm (123). Its formation energy is 0.05 eV/atom.


Please write out number 1 again, unchanged.
Compound: Pm2Ho5Sc4
Source: Alexandria via LeMat-Bulk
Functional: PBE
Structure: optimized geometry

Unit cell a=3.398 b=8.949 c=11.932 alpha=112.02 beta=98.19 gamma=90.00
Fractional positions:
Pm 0.406 0.406 0.811
Pm 0.594 0.594 0.189
Ho 0.851 0.051 0.703
Ho 0.851 0.652 0.703
Ho 0.149 0.348 0.297
Ho 0.149 0.949 0.297
Ho 0.500 0.000 0.000
Sc 0.000 0.301 0.000
Sc 0.729 0.729 0.458
Sc 0.000 0.699 0.000
Sc 0.271 0.271 0.542

Summary:
The volume is 30.2 A^3/atom. For the calculated density, the calculation gives 6467 kg/m3. The space group is Immm (71). Its formation energy is 0.25 eV/atom.


> Look up the calculated density of the first one.

6467 kg/m3